Record 1
12
Lattice="3.971 0.000 0.000 -1.986 3.439 0.000 0.000 0.000 17.392" Properties=species:S:1:pos:R:3 comment="Fe2SeBr, optimized geometry, DFT PBE-GGA" spacegroup="R-3m, No. 166" formation_energy_uncorrected_ev_per_atom=0.114 pbc="T T T"
Fe 0.000 0.000 3.752
Fe 0.000 0.000 13.639
Fe 0.000 2.293 7.842
Fe 0.000 2.293 15.347
Fe 1.986 1.146 2.045
Fe 1.986 1.146 9.550
Se 0.000 0.000 8.696
Se 0.000 2.293 2.899
Se 1.986 1.146 14.493
Br 0.000 0.000 0.000
Br 0.000 2.293 11.595
Br 1.986 1.146 5.797

Record 2
8
Lattice="7.295 0.000 0.000 0.000 4.205 0.000 -2.443 0.000 7.297" Properties=species:S:1:pos:R:3 comment="La2RhAu, optimized geometry, DFT PBE-GGA" spacegroup="C2/m, No. 12" formation_energy_mev_per_atom=-772 pbc="T T T"
La 1.211 0.000 1.608
La -0.007 2.102 5.689
La 4.859 2.102 1.608
La 3.641 0.000 5.689
Rh 0.000 2.102 0.000
Rh 3.647 0.000 0.000
Au -1.221 0.000 3.648
Au 2.426 2.102 3.648

Record 3
8
Lattice="4.894 0.000 0.000 0.000 4.894 0.000 0.000 0.000 4.894" Properties=species:S:1:pos:R:3 comment="OsRu, optimized geometry, DFT PBE-GGA" spacegroup="P2_13, No. 198" formation_energy_mev_per_atom=420 pbc="T T T"
Os 0.495 1.952 2.942
Os 1.952 2.942 0.495
Os 2.942 0.495 1.952
Os 4.398 4.398 4.398
Ru 0.489 4.404 1.957
Ru 1.957 0.489 4.404
Ru 2.936 2.936 2.936
Ru 4.404 1.957 0.489

Record 4
10
Lattice="5.009 0.000 0.000 0.000 5.692 0.000 -2.129 0.000 5.226" Properties=species:S:1:pos:R:3 comment="AgBPt3, optimized geometry, DFT PBE-GGA" spacegroup="P2_1/m, No. 11" formation_energy_mev_per_atom=-161 pbc="T T T"
Ag -0.424 1.423 1.114
Ag 3.304 4.269 4.112
B -0.370 1.423 5.055
B 3.250 4.269 0.171
Pt -0.372 4.269 1.651
Pt 0.822 0.015 3.865
Pt 0.822 2.832 3.865
Pt 2.058 2.861 1.361
Pt 2.058 5.678 1.361
Pt 3.252 1.423 3.575

Record 5
20
Lattice="3.526 -7.292 0.000 3.526 7.292 0.000 -1.038 0.000 17.545" Properties=species:S:1:pos:R:3 comment="HgSbCl3, optimized geometry, DFT PBE-GGA" spacegroup="C2/c, No. 15" formation_energy_uncorrected_ev_per_atom=-0.666 pbc="T T T"
Hg 1.442 3.962 14.327
Hg 4.053 3.962 11.990
Hg 1.961 -3.962 5.555
Hg 4.572 -3.962 3.218
Sb 0.070 0.551 6.760
Sb -0.449 -0.551 15.532
Sb 6.463 0.551 2.013
Sb 5.944 -0.551 10.785
Cl 0.202 1.289 16.999
Cl 1.610 2.121 7.636
Cl 1.003 0.145 13.734
Cl 0.721 -1.289 8.226
Cl 1.522 -0.145 4.962
Cl 1.091 -2.121 16.408
Cl 4.922 2.121 1.137
Cl 4.492 0.145 12.583
Cl 5.292 1.289 9.319
Cl 5.011 -0.145 3.811
Cl 4.403 -2.121 9.909
Cl 5.811 -1.289 0.546

Record 6
11
Lattice="7.820 0.000 0.000 0.000 3.254 0.000 -0.406 0.000 9.733" Properties=species:S:1:pos:R:3 comment="Mg4In5Ag2, optimized geometry, DFT PBE-GGA" spacegroup="P2/m, No. 10" formation_energy_mev_per_atom=-112 pbc="T T T"
Mg 1.433 0.000 3.528
Mg 1.414 0.000 9.011
Mg 6.000 0.000 0.722
Mg 5.980 0.000 6.205
In 0.910 1.627 6.210
In 3.532 1.627 1.663
In 3.707 1.627 4.866
In 3.881 1.627 8.069
In 6.503 1.627 3.523
Ag 0.582 1.627 1.315
Ag 6.831 1.627 8.417

Record 7
12
Lattice="4.092 0.000 0.000 0.000 4.092 0.000 0.000 0.000 12.319" Properties=species:S:1:pos:R:3 comment="Li2GaAu9, optimized geometry, DFT PBE-GGA" spacegroup="P4/mmm, No. 123" formation_energy_mev_per_atom=-257 pbc="T T T"
Li 0.000 0.000 2.014
Li 0.000 0.000 10.305
Ga 0.000 0.000 6.159
Au 0.000 2.046 0.000
Au 0.000 2.046 4.055
Au 0.000 2.046 8.264
Au 2.046 0.000 0.000
Au 2.046 0.000 4.055
Au 2.046 0.000 8.264
Au 2.046 2.046 2.023
Au 2.046 2.046 6.159
Au 2.046 2.046 10.296

Record 8
16
Lattice="7.027 0.000 0.000 0.000 7.027 0.000 0.000 0.000 7.027" Properties=species:S:1:pos:R:3 comment="YLuPtAu, optimized geometry, DFT PBE-GGA" spacegroup="F-43m, No. 216" formation_energy_mev_per_atom=-1058 pbc="T T T"
Y 0.000 0.000 0.000
Y 0.000 3.514 3.514
Y 3.514 0.000 3.514
Y 3.514 3.514 0.000
Lu 0.000 0.000 3.514
Lu 0.000 3.514 0.000
Lu 3.514 0.000 0.000
Lu 3.514 3.514 3.514
Pt 1.757 1.757 5.271
Pt 1.757 5.271 1.757
Pt 5.271 1.757 1.757
Pt 5.271 5.271 5.271
Au 1.757 1.757 1.757
Au 1.757 5.271 5.271
Au 5.271 1.757 5.271
Au 5.271 5.271 1.757

Record 9
4
Lattice="4.141 0.000 0.000 0.000 4.141 0.000 0.000 0.000 3.687" Properties=species:S:1:pos:R:3 comment="CdTcRh2, optimized geometry, DFT PBE-GGA" spacegroup="P4/mmm, No. 123" formation_energy_mev_per_atom=235 pbc="T T T"
Cd 0.000 0.000 0.000
Tc 2.070 2.070 0.000
Rh 0.000 2.070 1.844
Rh 2.070 0.000 1.844

Record 10
10
Lattice="6.188 0.000 0.000 3.009 7.290 0.000 3.003 1.645 7.106" Properties=species:S:1:pos:R:3 comment="Te6Pd3Pt, optimized geometry, DFT PBE-GGA" spacegroup="P-1, No. 2" formation_energy_uncorrected_ev_per_atom=-0.144 pbc="T T T"
Te 2.982 2.392 1.989
Te 4.349 3.026 5.306
Te 6.017 6.934 5.446
Te 6.183 2.000 1.659
Te 7.851 5.909 1.799
Te 9.218 6.543 5.116
Pd 0.000 0.000 0.000
Pd 1.505 3.645 0.000
Pd 3.006 4.467 3.553
Pt 4.595 0.823 3.553

Record 11
5
Lattice="4.368 0.000 0.000 0.000 4.368 0.000 0.000 0.000 4.529" Properties=species:S:1:pos:R:3 comment="HfAlTcRh2, optimized geometry, DFT PBE-GGA" spacegroup="P4/mmm, No. 123" formation_energy_mev_per_atom=169 pbc="T T T"
Hf 0.000 0.000 0.000
Al 2.184 2.184 2.265
Tc 2.184 2.184 0.000
Rh 0.000 2.184 2.265
Rh 2.184 0.000 2.265

Record 12
14
Lattice="6.599 0.000 0.000 0.000 6.599 0.000 0.000 0.000 6.599" Properties=species:S:1:pos:R:3 comment="NdSi3Pd3, optimized geometry, DFT PBE-GGA" spacegroup="Pm-3n, No. 223" formation_energy_uncorrected_ev_per_atom=-0.434 pbc="T T T"
Nd 0.000 0.000 0.000
Nd 3.299 3.299 3.299
Si 0.000 1.650 3.299
Si 0.000 4.949 3.299
Si 1.650 3.299 0.000
Si 3.299 0.000 1.650
Si 3.299 0.000 4.949
Si 4.949 3.299 0.000
Pd 0.000 3.299 1.650
Pd 0.000 3.299 4.949
Pd 1.650 0.000 3.299
Pd 3.299 1.650 0.000
Pd 3.299 4.949 0.000
Pd 4.949 0.000 3.299

Record 13
12
Lattice="3.525 0.000 0.000 -1.763 3.053 0.000 0.000 0.000 31.838" Properties=species:S:1:pos:R:3 comment="GdY2Ru, optimized geometry, DFT PBE-GGA" spacegroup="R-3m, No. 166" formation_energy_mev_per_atom=118 pbc="T T T"
Gd 0.000 0.000 0.000
Gd 0.000 2.035 21.225
Gd 1.763 1.018 10.613
Y 0.000 0.000 3.402
Y 0.000 0.000 28.436
Y 0.000 2.035 17.823
Y 0.000 2.035 24.627
Y 1.763 1.018 7.211
Y 1.763 1.018 14.015
Ru 0.000 0.000 15.919
Ru 0.000 2.035 5.306
Ru 1.763 1.018 26.531

Record 14
9
Lattice="-2.145 2.805 6.320 2.145 -2.805 6.320 2.145 2.805 -6.320" Properties=species:S:1:pos:R:3 comment="TaTi2Al6, optimized geometry, DFT PBE-GGA" spacegroup="Immm, No. 71" formation_energy_mev_per_atom=-77 pbc="T T T"
Ta 0.000 0.000 0.000
Ti 2.145 0.000 4.637
Ti 0.000 2.805 1.683
Al 2.145 1.307 -1.346
Al 0.000 0.000 2.689
Al 2.145 1.307 1.346
Al 0.000 1.498 4.974
Al 0.000 0.000 9.951
Al 0.000 1.498 7.666

Record 15
12
Lattice="4.974 0.000 0.000 -2.487 4.308 0.000 0.000 0.000 12.236" Properties=species:S:1:pos:R:3 comment="Dy3Cu2Au, optimized geometry, DFT PBE-GGA" spacegroup="P-3m1, No. 164" formation_energy_mev_per_atom=-455 pbc="T T T"
Dy 0.000 0.000 2.996
Dy 0.000 0.000 9.240
Dy 0.000 2.872 5.086
Dy 0.000 2.872 11.259
Dy 2.487 1.436 0.977
Dy 2.487 1.436 7.150
Cu 0.000 0.000 0.000
Cu 0.000 0.000 6.118
Cu 0.000 2.872 1.965
Cu 2.487 1.436 10.271
Au 0.000 2.872 8.162
Au 2.487 1.436 4.074

Record 16
10
Lattice="4.136 0.000 0.000 0.000 4.136 0.000 0.000 0.000 12.337" Properties=species:S:1:pos:R:3 comment="Mg2Zn2Sb, optimized geometry, DFT PBE-GGA" spacegroup="I4/mmm, No. 139" formation_energy_uncorrected_ev_per_atom=0.069 pbc="T T T"
Mg 0.000 2.068 3.084
Mg 0.000 2.068 9.253
Mg 2.068 0.000 3.084
Mg 2.068 0.000 9.253
Zn 0.000 0.000 1.217
Zn 0.000 0.000 11.120
Zn 2.068 2.068 4.951
Zn 2.068 2.068 7.386
Sb 0.000 0.000 6.168
Sb 2.068 2.068 0.000

Record 17
12
Lattice="2.770 -6.322 0.000 2.770 6.322 0.000 0.000 0.000 10.303" Properties=species:S:1:pos:R:3 comment="Ac3HgRh2, optimized geometry, DFT PBE-GGA" spacegroup="Cmcm, No. 63" formation_energy_mev_per_atom=-446 pbc="T T T"
Ac 2.770 5.292 7.727
Ac 2.770 1.709 5.666
Ac 2.770 1.709 9.788
Ac 2.770 -1.709 0.515
Ac 2.770 -1.709 4.637
Ac 2.770 -5.292 2.576
Hg 2.770 3.570 2.576
Hg 2.770 -3.570 7.727
Rh 0.000 0.000 0.000
Rh 0.000 0.000 5.152
Rh 2.770 0.479 2.576
Rh 2.770 -0.479 7.727

Record 18
5
Lattice="4.667 0.000 0.000 0.000 4.667 0.000 0.000 0.000 4.667" Properties=species:S:1:pos:R:3 comment="VZn3S, optimized geometry, DFT PBE-GGA" spacegroup="Pm-3m, No. 221" formation_energy_uncorrected_ev_per_atom=0.775 pbc="T T T"
V 0.000 0.000 0.000
Zn 0.000 2.334 2.334
Zn 2.334 0.000 2.334
Zn 2.334 2.334 0.000
S 2.334 2.334 2.334

Record 19
12
Lattice="3.401 -5.895 0.000 3.401 5.895 0.000 -2.266 0.000 6.475" Properties=species:S:1:pos:R:3 comment="NdHo3Pu2S6, optimized geometry, DFT PBE-GGA" spacegroup="C2/m, No. 12" formation_energy_uncorrected_ev_per_atom=-1.940 pbc="T T T"
Nd 0.000 0.000 0.000
Ho 2.268 3.952 3.237
Ho 2.268 0.000 3.237
Ho 2.268 -3.952 3.237
Pu 3.401 1.968 0.000
Pu 3.401 -1.968 0.000
S 1.155 1.999 1.681
S 0.042 0.000 4.799
S 1.155 -1.999 1.681
S 3.381 1.999 4.794
S 4.494 0.000 1.676
S 3.381 -1.999 4.794

Record 20
16
Lattice="4.222 2.437 8.151 -4.222 2.437 8.151 0.000 -4.875 8.151" Properties=species:S:1:pos:R:3 comment="Rb4SmPa3Se8, optimized geometry, DFT PBE-GGA" spacegroup="R-3m, No. 166" formation_energy_uncorrected_ev_per_atom=-1.393 pbc="T T T"
Rb 0.000 0.000 0.000
Rb -2.111 -1.219 8.151
Rb -2.111 1.219 16.301
Rb 0.000 2.437 8.151
Sm 0.000 0.000 12.226
Pa -4.222 0.000 12.226
Pa -2.111 1.219 4.075
Pa 2.111 1.219 4.075
Se -2.136 -1.233 13.871
Se 0.000 0.000 5.723
Se 0.000 -2.466 10.581
Se -2.136 1.233 10.581
Se 2.136 -1.233 13.871
Se 0.000 2.466 13.871
Se 0.000 0.000 18.729
Se 2.136 1.233 10.581

Record 21
10
Lattice="7.216 0.000 0.000 0.000 7.216 0.000 0.000 0.000 4.886" Properties=species:S:1:pos:R:3 comment="Sr2Zn2Si, optimized geometry, DFT PBE-GGA" spacegroup="P4/mbm, No. 127" formation_energy_uncorrected_ev_per_atom=-0.135 pbc="T T T"
Sr 1.368 2.240 0.000
Sr 2.240 5.848 0.000
Sr 4.975 1.368 0.000
Sr 5.848 4.975 0.000
Zn 0.877 4.485 2.443
Zn 2.731 0.877 2.443
Zn 4.485 6.339 2.443
Zn 6.339 2.731 2.443
Si 0.000 0.000 2.443
Si 3.608 3.608 2.443

Record 22
28
Lattice="-6.162 6.162 6.162 6.162 -6.162 6.162 6.162 6.162 -6.162" Properties=species:S:1:pos:R:3 comment="Nd3FeI3, optimized geometry, DFT PBE-GGA" spacegroup="I4_132, No. 214" formation_energy_uncorrected_ev_per_atom=-0.787 pbc="T T T"
Nd 1.828 1.540 -1.253
Nd 7.414 1.828 -1.540
Nd 1.540 -1.253 1.828
Nd 4.909 4.334 -1.540
Nd 4.334 1.540 1.253
Nd -1.253 1.828 1.540
Nd 4.334 -1.540 4.909
Nd 1.540 1.253 4.334
Nd 1.253 4.334 1.540
Nd 1.828 -1.540 7.414
Nd -1.540 7.414 1.828
Nd -1.540 4.909 4.334
Fe 4.621 1.540 -1.540
Fe 1.540 1.540 1.540
Fe 1.540 -1.540 4.621
Fe -1.540 4.621 1.540
I 7.702 1.424 1.657
I 7.702 -1.424 4.505
I 4.505 7.702 -1.424
I 4.738 1.657 4.621
I 4.621 4.738 1.657
I 1.657 7.702 1.424
I 7.586 4.505 4.621
I 1.657 4.621 4.738
I 1.424 1.657 7.702
I 4.621 7.586 4.505
I -1.424 4.505 7.702
I 4.505 4.621 7.586

So what do the calculations give for DOS(E_F)? Going down the list: 11.6 3.9 9.3 4.1 0.0 3.7 3.3 10.4 3.4 4.6 3.3 9.6 21.1 5.8 5.3 2.6 7.9 3.6 15.9 16.4 4.6 24.7 states/eV/cell.
So what do the calculations give for magnetization? Going down the list: 6.7 0.0 0.0 0.0 0.0 0.0 0.0 0.0 2.7 0.0 0.0 0.0 8.1 0.0 0.0 0.0 0.0 3.4 11.5 5.9 0.0 0.0 μB/f.u..
So what do the calculations give for ρ? Going down the list: 5.7 8.6 16.5 15.7 3.2 5.9 14.9 12.6 10.9 6.6 9.8 6.3 6.3 4.8 10.3 4.7 10.0 4.6 8.4 6.0 4.4 6.2 g/cm3.